Entry 1:
Density functional theory data (PBE with a Hubbard U) for a geometry-optimized La8Ni4O17 structure. Values from VASP.

Summary:
- Total magnetization: 5.95 μB/f.u.
- Symmetry: P1 (1)
- Energy: -7.25 eV/atom
- Calculated density: 6.93 g/cm³
- V: 13.36 Å³ per atom

```
&SYSTEM
  ibrav = 0, nat = 29, ntyp = 3
/
ATOMIC_SPECIES
La 138.91 La.upf
Ni 58.69 Ni.upf
O 16.00 O.upf
CELL_PARAMETERS angstrom
6.9041 0.0143 0.0002
2.2382 7.5180 -0.0016
3.3388 3.1596 7.4707
ATOMIC_POSITIONS angstrom
La 9.7621 9.4802 6.2206
La 8.5672 5.7185 6.1914
La 6.0241 8.3795 4.9949
La 4.9249 4.6622 5.0841
La 7.5246 5.9646 2.3749
La 6.3355 2.2288 2.4157
La 2.7787 1.2794 1.3090
La 3.9285 4.9876 1.4154
Ni 9.1100 3.4618 3.7666
Ni 10.2010 7.2391 3.7457
Ni 2.2475 7.5066 0.0123
Ni 4.4924 6.9403 7.4278
O 7.6571 10.3490 6.8274
O 6.2361 6.2096 6.3178
O 9.4669 3.4204 5.7035
O 10.5826 7.1430 5.6490
O 7.0644 4.0215 4.1718
O 8.1926 7.8019 4.3122
O 3.9267 9.0724 3.7302
O 4.2900 2.7935 3.5830
O 5.3465 6.6359 3.1539
O 2.8323 5.3185 3.6953
O 1.8137 3.5653 1.8141
O 7.0863 7.6641 0.7027
O 4.5560 2.7960 0.9355
O 6.2515 4.8286 0.6810
O 9.6956 7.3990 1.8811
O 5.3773 8.7087 7.3675
O 7.3225 1.9531 0.0761
```

***

Entry 2:
Density functional theory data (PBE with a Hubbard U) for a geometry-optimized Rb2TmNi3F12 structure. Values from VASP.

Summary:
- Total magnetization: 5.00 μB/f.u.
- Symmetry: R-3m (166)
- Energy: -4.71 eV/atom
- Calculated density: 4.28 g/cm³
- V: 16.03 Å³ per atom

```
&SYSTEM
  ibrav = 0, nat = 18, ntyp = 4
/
ATOMIC_SPECIES
Rb 85.47 Rb.upf
Tm 168.93 Tm.upf
Ni 58.69 Ni.upf
F 19.00 F.upf
CELL_PARAMETERS angstrom
7.5114 0.1344 0.0953
3.8264 6.4652 0.0953
3.8264 2.2273 6.0701
ATOMIC_POSITIONS angstrom
Rb 9.3189 5.4243 3.8474
Rb 5.8453 3.4025 2.4133
Tm 0.0000 0.0000 0.0000
Ni 3.7557 0.0672 0.0477
Ni 1.9132 3.2326 0.0477
Ni 1.9132 1.1136 3.0351
F 7.0197 4.0860 5.6292
F 11.6997 6.8102 2.2934
F 9.6177 7.9926 5.6691
F 9.2609 2.8132 1.9953
F 11.6997 4.4159 5.6691
F 7.0197 6.6635 1.9953
F 8.1445 4.7408 0.6316
F 3.4645 2.0166 3.9673
F 5.5465 0.8342 0.5917
F 5.9033 6.0137 4.2654
F 3.4645 4.4110 0.5917
F 8.1445 2.1634 4.2654
```

***

| no. | DOS at the Fermi energy (states/eV per cell) |
| --- | --- |
| 1 | 4.33 |
| 2 | 1.34 |